A relaxed structure of MgAgF5. Source: Alexandria, functional PBE.

```
MgAgF5
1.0
3.175 -4.514 0.000
3.175 4.514 0.000
-1.626 0.000 7.183
Mg Ag F
2 2 10
Cartesian
0.000 0.000 0.000
-0.813 0.000 3.592
1.955 1.168 5.387
2.768 -1.168 1.796
2.768 3.919 1.796
1.897 2.583 4.020
2.013 2.583 6.754
2.016 0.220 0.572
1.203 -0.220 4.163
3.520 0.220 3.020
2.707 -0.220 6.611
2.710 -2.583 0.429
2.826 -2.583 3.163
1.955 -3.919 5.387
```

Results
Mass density: 3.7 g cm⁻³
Raw total energy: -3.97 eV per atom
ΔE to the lowest computed polymorph: 0.0 kJ/mol of atoms
Uncorrected formation energy: -2.001 eV per atom